No. 1
Nd4AsI2N GGA-PBE optimized geometry; space-group type = P2/m, No. 10; crystal system = monoclinic; magnetic moment = 0.00 μB per cell; D(E_F) = 3.102 states/eV per cell; formation energy without anion corrections = -9.73 eV per formula unit
1.0
7.173 0.000 0.000
0.000 4.037 0.000
-2.358 0.000 7.702
Nd As I N
4 1 2 1
direct
0.196 0.000 0.177
0.228 0.500 0.820
0.772 0.500 0.180
0.804 0.000 0.823
0.500 0.000 0.000
0.000 0.000 0.500
0.500 0.500 0.500
0.000 0.500 0.000

No. 2
Ho2AlPd3 GGA-PBE optimized geometry; space-group type = Immm, No. 71; crystal system = orthorhombic; calculated formation energy = -4.4 eV per formula unit; magnetic moment = 0.00 μB per cell; D(E_F) = 2.343 states/eV per cell
1.0
-2.130 2.701 5.453
2.130 -2.701 5.453
2.130 2.701 -5.453
Ho Al Pd
2 1 3
direct
0.186 0.186 0.000
0.814 0.814 0.000
0.500 0.500 0.000
0.000 0.500 0.500
0.373 0.873 0.500
0.627 0.127 0.500

No. 3
Sm6N5F GGA-PBE optimized geometry; space-group type = C2/m, No. 12; crystal system = monoclinic; magnetic moment = 0.00 μB per cell; D(E_F) = 2.310 states/eV per cell; formation energy without anion corrections = -20.81 eV per formula unit
1.0
3.113 -5.387 0.000
3.113 5.387 0.000
-2.091 0.000 5.847
Sm N F
6 5 1
direct
0.065 0.415 0.745
0.236 0.236 0.263
0.415 0.065 0.745
0.585 0.935 0.255
0.764 0.764 0.737
0.935 0.585 0.255
0.000 0.000 0.500
0.167 0.833 0.000
0.331 0.669 0.500
0.669 0.331 0.500
0.833 0.167 0.000
0.500 0.500 0.000

> The lowest D(E_F) belongs to which entry?

Sm6N5F

> What is the magnetic moment in the second record?

0.00 μB per cell